1.
Here is a geometry-optimized Y2MnAgH structure from Alexandria. Energies are from PBE.

Cell: 5.0078 5.0078 3.7104 Å, 90.00 90.00 90.00°
Sites, in units of the cell vectors:
Y1 0.0000 0.5000 0.0000
Y2 0.5000 0.0000 0.0000
Mn1 0.0000 0.0000 0.5000
Ag1 0.5000 0.5000 0.5000
H1 0.0000 0.0000 0.0000

Output
The total energy comes out at -5.81 eV per atom. The mass density is 6.097 g cm⁻³.

2.
Here is a geometry-optimized FeRe2Rh structure from Alexandria. Energies are from PBE.

Cell: 3.1564 3.1564 5.6814 Å, 90.00 90.00 90.00°
Sites, in units of the cell vectors:
Fe1 0.0000 0.0000 0.0000
Re1 0.5000 0.5000 0.2174
Re2 0.5000 0.5000 0.7826
Rh1 0.0000 0.0000 0.5000

Output
The total energy comes out at -9.91 eV per atom. The mass density is 15.583 g cm⁻³. Its formation enthalpy at 0 K is 0.263 eV/atom.

3.
Here is a geometry-optimized PaInGeS structure from Alexandria. Energies are from PBE.

Cell: 4.2773 4.2773 9.4633 Å, 90.00 90.00 90.00°
Sites, in units of the cell vectors:
Pa1 0.2500 0.2500 0.1858
Pa2 0.7500 0.7500 0.8142
In1 0.2500 0.7500 0.5000
In2 0.7500 0.2500 0.5000
Ge1 0.2500 0.2500 0.7343
Ge2 0.7500 0.7500 0.2657
S1 0.2500 0.7500 0.0000
S2 0.7500 0.2500 0.0000

Output
The total energy comes out at -5.84 eV per atom. The mass density is 8.643 g cm⁻³. The calculation puts the formation energy without anion corrections at -0.59 eV per atom.

4.
Here is a geometry-optimized SrZnAu4 structure from Alexandria. Energies are from PBE.

Cell: 5.6609 5.6609 5.6609 Å, 60.00 60.00 60.00°
Sites, in units of the cell vectors:
Sr1 0.0000 0.0000 0.0000
Zn1 0.7500 0.7500 0.7500
Au1 0.3754 0.3754 0.3754
Au2 0.3754 0.3754 0.8737
Au3 0.3754 0.8737 0.3754
Au4 0.8737 0.3754 0.3754

Output
The total energy comes out at -3.02 eV per atom. The mass density is 12.180 g cm⁻³. Its formation enthalpy at 0 K is -0.340 eV/atom.

5.
Here is a geometry-optimized Sm2HoAl2Ga2 structure from Alexandria. Energies are from PBE.

Cell: 11.3371 11.3371 11.3371 Å, 21.66 21.66 21.66°
Sites, in units of the cell vectors:
Sm1 0.1231 0.1231 0.1231
Sm2 0.8769 0.8769 0.8769
Ho1 0.0000 0.0000 0.0000
Al1 0.3911 0.3911 0.3911
Al2 0.6089 0.6089 0.6089
Ga1 0.2676 0.2676 0.2676
Ga2 0.7324 0.7324 0.7324

Output
The total energy comes out at -4.34 eV per atom. The mass density is 6.289 g cm⁻³. Its formation enthalpy at 0 K is -0.399 eV/atom.

6.
Here is a geometry-optimized Ho2Ag4Te5 structure from Alexandria. Energies are from PBE.

Cell: 19.2881 19.2881 19.2881 Å, 13.23 13.23 13.23°
Sites, in units of the cell vectors:
Ho1 0.1360 0.1360 0.1360
Ho2 0.8640 0.8640 0.8640
Ag1 0.3161 0.3161 0.3161
Ag2 0.4154 0.4154 0.4154
Ag3 0.5846 0.5846 0.5846
Ag4 0.6839 0.6839 0.6839
Te1 0.2276 0.2276 0.2276
Te2 0.3680 0.3680 0.3680
Te3 0.5000 0.5000 0.5000
Te4 0.6320 0.6320 0.6320
Te5 0.7724 0.7724 0.7724

Output
The total energy comes out at -3.81 eV per atom. The mass density is 7.106 g cm⁻³. The calculation puts the formation energy without anion corrections at -0.52 eV per atom.

7.
Here is a geometry-optimized TaCrNi structure from Alexandria. Energies are from PBE.

Cell: 9.3985 8.7739 4.7939 Å, 82.05 67.60 30.34°
Sites, in units of the cell vectors:
Ta1 0.0471 0.7029 0.0471
Ta2 0.2971 0.9529 0.2971
Ta3 0.7029 0.0471 0.7029
Ta4 0.9529 0.2971 0.9529
Cr1 0.3090 0.3090 0.4410
Cr2 0.4410 0.4410 0.3090
Cr3 0.5590 0.5590 0.6910
Cr4 0.6910 0.6910 0.5590
Ni1 0.0016 0.0016 0.2484
Ni2 0.2484 0.2484 0.0016
Ni3 0.7516 0.7516 0.9984
Ni4 0.9984 0.9984 0.7516

Output
The total energy comes out at -8.98 eV per atom. The mass density is 11.491 g cm⁻³. Its formation enthalpy at 0 K is 0.109 eV/atom.

8.
Here is a geometry-optimized TcNiSe2 structure from Alexandria. Energies are from PBE.

Cell: 6.2263 6.2263 6.2263 Å, 90.00 90.00 90.00°
Sites, in units of the cell vectors:
Tc1 0.0000 0.0000 0.0000
Tc2 0.0000 0.5000 0.5000
Tc3 0.5000 0.0000 0.5000
Tc4 0.5000 0.5000 0.0000
Ni1 0.0000 0.0000 0.5000
Ni2 0.0000 0.5000 0.0000
Ni3 0.5000 0.0000 0.0000
Ni4 0.5000 0.5000 0.5000
Se1 0.2500 0.2500 0.2500
Se2 0.2500 0.2500 0.7500
Se3 0.2500 0.7500 0.2500
Se4 0.2500 0.7500 0.7500
Se5 0.7500 0.2500 0.2500
Se6 0.7500 0.2500 0.7500
Se7 0.7500 0.7500 0.2500
Se8 0.7500 0.7500 0.7500

Output
The total energy comes out at -5.57 eV per atom. The mass density is 8.658 g cm⁻³. The calculation puts the formation energy without anion corrections at 0.21 eV per atom.

9.
Here is a geometry-optimized RbTl2IrS structure from Alexandria. Energies are from PBE.

Cell: 5.2426 5.2426 6.1275 Å, 90.00 90.00 90.00°
Sites, in units of the cell vectors:
Rb1 0.0000 0.0000 0.0000
Tl1 0.0000 0.5000 0.5000
Tl2 0.5000 0.0000 0.5000
Ir1 0.0000 0.0000 0.5000
S1 0.5000 0.5000 0.0000

Output
The total energy comes out at -3.44 eV per atom. The mass density is 7.084 g cm⁻³. The calculation puts the formation energy without anion corrections at 0.30 eV per atom.

10.
Here is a geometry-optimized K3LaHo2S6 structure from Alexandria. Energies are from PBE.

Cell: 7.1364 7.1364 7.7503 Å, 98.84 98.84 120.01°
Sites, in units of the cell vectors:
K1 0.0000 0.0000 0.0000
K2 0.3345 0.6655 0.0000
K3 0.6655 0.3345 0.0000
La1 0.5000 0.5000 0.5000
Ho1 0.1668 0.8332 0.5000
Ho2 0.8332 0.1668 0.5000
S1 0.0859 0.4322 0.2970
S2 0.2214 0.2214 0.7031
S3 0.4322 0.0859 0.2970
S4 0.5678 0.9141 0.7030
S5 0.7786 0.7786 0.2969
S6 0.9141 0.5678 0.7030

Output
The total energy comes out at -5.41 eV per atom. The mass density is 3.974 g cm⁻³. The calculation puts the formation energy without anion corrections at -1.89 eV per atom.

11.
Here is a geometry-optimized HfTlCo2Te structure from Alexandria. Energies are from PBE.

Cell: 4.7124 4.7124 5.6475 Å, 90.00 90.00 90.00°
Sites, in units of the cell vectors:
Hf1 0.0000 0.0000 0.0000
Tl1 0.5000 0.5000 0.5000
Co1 0.0000 0.5000 0.5000
Co2 0.5000 0.0000 0.5000
Te1 0.5000 0.5000 0.0000

Output
The total energy comes out at -4.44 eV per atom. The mass density is 8.320 g cm⁻³. The calculation puts the formation energy without anion corrections at 1.50 eV per atom.

12.
Here is a geometry-optimized LaMg2Ru structure from Alexandria. Energies are from PBE.

Cell: 4.1032 4.1032 5.2334 Å, 90.00 90.00 90.00°
Sites, in units of the cell vectors:
La1 0.0000 0.0000 0.0000
Mg1 0.0000 0.5000 0.5000
Mg2 0.5000 0.0000 0.5000
Ru1 0.5000 0.5000 0.0000

Output
The total energy comes out at -4.34 eV per atom. The mass density is 5.439 g cm⁻³. Its formation enthalpy at 0 K is 0.009 eV/atom.

13.
Here is a geometry-optimized CeTh2Tl structure from Alexandria. Energies are from PBE.

Cell: 7.7958 7.7958 7.7958 Å, 90.00 90.00 90.00°
Sites, in units of the cell vectors:
Ce1 0.0000 0.0000 0.0000
Ce2 0.0000 0.5000 0.5000
Ce3 0.5000 0.0000 0.5000
Ce4 0.5000 0.5000 0.0000
Th1 0.2500 0.2500 0.2500
Th2 0.2500 0.2500 0.7500
Th3 0.2500 0.7500 0.2500
Th4 0.2500 0.7500 0.7500
Th5 0.7500 0.2500 0.2500
Th6 0.7500 0.2500 0.7500
Th7 0.7500 0.7500 0.2500
Th8 0.7500 0.7500 0.7500
Tl1 0.0000 0.0000 0.5000
Tl2 0.0000 0.5000 0.0000
Tl3 0.5000 0.0000 0.0000
Tl4 0.5000 0.5000 0.5000

Output
The total energy comes out at -5.67 eV per atom. The mass density is 11.336 g cm⁻³. Its formation enthalpy at 0 K is 0.110 eV/atom.

14.
Here is a geometry-optimized Nb2PbS2 structure from Alexandria. Energies are from PBE.

Cell: 4.1408 4.1408 11.4798 Å, 90.00 90.00 90.00°
Sites, in units of the cell vectors:
Nb1 0.0000 0.0000 0.1271
Nb2 0.0000 0.0000 0.8729
Nb3 0.5000 0.5000 0.3729
Nb4 0.5000 0.5000 0.6271
Pb1 0.0000 0.0000 0.5000
Pb2 0.5000 0.5000 0.0000
S1 0.0000 0.5000 0.2500
S2 0.0000 0.5000 0.7500
S3 0.5000 0.0000 0.2500
S4 0.5000 0.0000 0.7500

Output
The total energy comes out at -6.70 eV per atom. The mass density is 7.713 g cm⁻³. The calculation puts the formation energy without anion corrections at -0.28 eV per atom.

15.
Here is a geometry-optimized La2CeCo structure from Alexandria. Energies are from PBE.

Cell: 3.5323 3.5323 8.4183 Å, 90.00 90.00 90.00°
Sites, in units of the cell vectors:
La1 0.0000 0.0000 0.2041
La2 0.0000 0.0000 0.7959
Ce1 0.5000 0.5000 0.5000
Co1 0.5000 0.5000 0.0000

Output
The total energy comes out at -5.63 eV per atom. The mass density is 7.539 g cm⁻³. Its formation enthalpy at 0 K is 0.090 eV/atom.

16.
Here is a geometry-optimized RbZnTcSn2 structure from Alexandria. Energies are from PBE.

Cell: 5.1806 5.1806 5.2031 Å, 90.00 90.00 90.00°
Sites, in units of the cell vectors:
Rb1 0.0000 0.0000 0.0000
Zn1 0.5000 0.5000 0.0000
Tc1 0.5000 0.5000 0.5000
Sn1 0.0000 0.5000 0.5000
Sn2 0.5000 0.0000 0.5000

Output
The total energy comes out at -4.12 eV per atom. The mass density is 5.783 g cm⁻³. Its formation enthalpy at 0 K is 0.007 eV/atom.

17.
Here is a geometry-optimized RbBa2Hg structure from Alexandria. Energies are from PBE.

Cell: 4.8526 4.8526 39.6560 Å, 90.00 90.00 120.00°
Sites, in units of the cell vectors:
Rb1 0.0000 0.0000 0.0000
Rb2 0.3333 0.6667 0.6667
Rb3 0.6667 0.3333 0.3333
Ba1 0.0000 0.0000 0.1167
Ba2 0.0000 0.0000 0.8833
Ba3 0.3333 0.6667 0.5500
Ba4 0.3333 0.6667 0.7834
Ba5 0.6667 0.3333 0.2166
Ba6 0.6667 0.3333 0.4500
Hg1 0.0000 0.0000 0.5000
Hg2 0.3333 0.6667 0.1667
Hg3 0.6667 0.3333 0.8333

Output
The total energy comes out at -1.41 eV per atom. The mass density is 3.454 g cm⁻³. Its formation enthalpy at 0 K is -0.134 eV/atom.

18.
Here is a geometry-optimized Na3Ho2TmS6 structure from Alexandria. Energies are from PBE.

Cell: 6.8490 6.8490 7.0576 Å, 99.31 99.31 120.00°
Sites, in units of the cell vectors:
Na1 0.0000 0.0000 0.0000
Na2 0.3332 0.6668 0.0000
Na3 0.6668 0.3332 0.0000
Ho1 0.1666 0.8334 0.5000
Ho2 0.8334 0.1666 0.5000
Tm1 0.5000 0.5000 0.5000
S1 0.0937 0.4250 0.2748
S2 0.2438 0.2438 0.7250
S3 0.4250 0.0937 0.2748
S4 0.5750 0.9063 0.7252
S5 0.7562 0.7562 0.2750
S6 0.9063 0.5750 0.7252

Output
The total energy comes out at -5.38 eV per atom. The mass density is 4.653 g cm⁻³. The calculation puts the formation energy without anion corrections at -1.85 eV per atom.

19.
Here is a geometry-optimized ScCr2 structure from Alexandria. Energies are from PBE.

Cell: 3.2418 3.2418 4.7876 Å, 90.00 90.00 90.00°
Sites, in units of the cell vectors:
Sc1 0.0000 0.0000 0.0000
Cr1 0.0000 0.5000 0.5000
Cr2 0.5000 0.0000 0.5000

Output
The total energy comes out at -7.96 eV per atom. The mass density is 4.916 g cm⁻³. Its formation enthalpy at 0 K is 0.565 eV/atom.

20.
Here is a geometry-optimized FeAsOs2Pt structure from Alexandria. Energies are from PBE.

Cell: 4.5400 4.5400 4.5760 Å, 90.00 90.00 90.00°
Sites, in units of the cell vectors:
Fe1 0.0000 0.0000 0.0000
As1 0.5000 0.5000 0.5000
Os1 0.0000 0.5000 0.5000
Os2 0.5000 0.0000 0.5000
Pt1 0.5000 0.5000 0.0000

Output
The total energy comes out at -6.83 eV per atom. The mass density is 12.435 g cm⁻³. Its formation enthalpy at 0 K is 1.495 eV/atom.

no.,volume (Å³ per atom)
1,18.6
2,14.2
3,21.6
4,21.4
5,24.9
6,29.7
7,14.0
8,15.1
9,33.7
10,27.1
11,25.1
12,22.0
13,29.6
14,19.7
15,26.3
16,27.9
17,67.4
18,22.6
19,16.8
20,18.9